Below is a geometry-optimized Cs4Mg2Pt structure, with properties calculated at the PBE level.

Results
Formation energy   0.257 eV/atom

a b c (Å): 10.911 10.911 10.911
angles (deg): 143.66 143.66 52.33
Sites, in units of the cell vectors:
Cs (0.000, 0.500, 0.500)
Cs (0.168, 0.168, 0.000)
Cs (0.500, 0.000, 0.500)
Cs (0.832, 0.832, 0.000)
Mg (0.383, 0.383, 0.000)
Mg (0.617, 0.617, 0.000)
Pt (0.000, 0.000, 0.000)